# Sr2LiNi3H12 PBE relaxed
data_Sr2LiNi3H12
_chemical_formula_sum 'Sr2 Li1 Ni3 H12'
_space_group_name_H-M_alt 'P 1'
_space_group_IT_number 1
_cell_length_a 5.923
_cell_length_b 5.923
_cell_length_c 5.923
_cell_angle_alpha 62.96
_cell_angle_beta 62.96
_cell_angle_gamma 62.96
loop_
_space_group_symop_operation_xyz
'x,y,z'
loop_
_atom_site_label
_atom_site_fract_x
_atom_site_fract_y
_atom_site_fract_z
_atom_site_occupancy
Sr1 0.619 0.619 0.619 1
Sr2 0.381 0.381 0.381 1
Li1 0.000 0.000 0.000 1
Ni1 0.500 0.000 0.000 1
Ni2 0.000 0.500 0.000 1
Ni3 0.000 0.000 0.500 1
H1 0.303 0.303 0.908 1
H2 0.897 0.897 0.379 1
H3 0.379 0.897 0.897 1
H4 0.908 0.303 0.303 1
H5 0.897 0.379 0.897 1
H6 0.303 0.908 0.303 1
H7 0.697 0.697 0.092 1
H8 0.103 0.103 0.621 1
H9 0.621 0.103 0.103 1
H10 0.092 0.697 0.697 1
H11 0.103 0.621 0.103 1
H12 0.697 0.092 0.697 1
# SG: R-3m, No. 166
# Final energy (eV/atom): -3.76